Entry 1:
# CaCdRe3 | Alexandria | PBE-GGA | optimized geometry
# **ΔE to the lowest computed polymorph**: 466 meV per atom
# **DFT formation energy**: 3.11 eV/atom
# **Energy**: -4.9396 eV per atom
data_CaCdRe3
_chemical_formula_sum 'Ca1 Cd1 Re3'
_cell_length_a 4.6660
_cell_length_b 4.6660
_cell_length_c 4.6660
_cell_angle_alpha 90.00
_cell_angle_beta 90.00
_cell_angle_gamma 90.00
_space_group_name_H-M_alt 'P m -3 m'
_space_group_IT_number 221
_space_group_name_Hall '-P 4 2 3'
loop_
_atom_site_label
_atom_site_type_symbol
_atom_site_fract_x
_atom_site_fract_y
_atom_site_fract_z
Ca1 Ca 0.0000 0.0000 0.0000
Cd1 Cd 0.5000 0.5000 0.5000
Re1 Re 0.0000 0.0000 0.5000

***

Entry 2:
# MoIr2Ru2 | Alexandria | PBE-GGA | optimized geometry
# **ΔE to the lowest computed polymorph**: 0 meV per atom
# **DFT formation energy**: -0.08 eV/atom
# **Energy**: -9.5042 eV per atom
data_MoIr2Ru2
_chemical_formula_sum 'Mo4 Ir8 Ru8'
_cell_length_a 8.6649
_cell_length_b 3.8817
_cell_length_c 8.6363
_cell_angle_alpha 90.00
_cell_angle_beta 90.26
_cell_angle_gamma 90.00
_space_group_name_H-M_alt 'C 1 2/m 1'
_space_group_IT_number 12
_space_group_name_Hall '-C 2y'
loop_
_atom_site_label
_atom_site_type_symbol
_atom_site_fract_x
_atom_site_fract_y
_atom_site_fract_z
Mo1 Mo 0.1469 0.0000 0.0590
Ir1 Ir 0.0507 0.5000 0.8499
Ir2 Ir 0.2502 0.0000 0.7486
Ru1 Ru 0.0525 0.0000 0.3542
Ru2 Ru 0.1476 0.5000 0.5476

***

Entry 3:
# Hf2ScS | Alexandria | PBE-GGA | optimized geometry
# **E_form (uncorrected)**: -0.401 eV per formula unit
# **Energy**: -7.6917 eV per atom
data_Hf2ScS
_chemical_formula_sum 'Hf8 Sc4 S4'
_cell_length_a 3.9666
_cell_length_b 3.9666
_cell_length_c 21.0726
_cell_angle_alpha 90.00
_cell_angle_beta 90.00
_cell_angle_gamma 90.00
_space_group_name_H-M_alt 'I -4 2 d'
_space_group_IT_number 122
_space_group_name_Hall 'I -4 2bw'
loop_
_atom_site_label
_atom_site_type_symbol
_atom_site_fract_x
_atom_site_fract_y
_atom_site_fract_z
Hf1 Hf 0.2435 0.2500 0.1250
Sc1 Sc 0.0000 0.0000 0.5000
S1 S 0.0000 0.0000 0.0000

***

Entry 4:
# KBeAg2 | Alexandria | PBE-GGA | optimized geometry
# **DFT formation energy**: 0.35 eV/atom
# **Energy**: -2.2839 eV per atom
data_KBeAg2
_chemical_formula_sum 'K1 Be1 Ag2'
_cell_length_a 3.3683
_cell_length_b 3.3683
_cell_length_c 7.7910
_cell_angle_alpha 90.00
_cell_angle_beta 90.00
_cell_angle_gamma 90.00
_space_group_name_H-M_alt 'P 4 m m'
_space_group_IT_number 99
_space_group_name_Hall 'P 4 -2'
loop_
_atom_site_label
_atom_site_type_symbol
_atom_site_fract_x
_atom_site_fract_y
_atom_site_fract_z
K1 K 0.0000 0.0000 0.0000
Be1 Be 0.5000 0.5000 0.6416
Ag1 Ag 0.0000 0.0000 0.5751
Ag2 Ag 0.5000 0.5000 0.3354

***

Entry 5:
# MgPH2F | Alexandria | PBE-GGA | optimized geometry
# **Energy**: -3.6128 eV per atom
data_MgPH2F
_chemical_formula_sum 'Mg1 P1 H2 F1'
_cell_length_a 3.1981
_cell_length_b 3.1981
_cell_length_c 6.6468
_cell_angle_alpha 90.00
_cell_angle_beta 90.00
_cell_angle_gamma 90.00
_space_group_name_H-M_alt 'P 4/m m m'
_space_group_IT_number 123
_space_group_name_Hall '-P 4 2'
loop_
_atom_site_label
_atom_site_type_symbol
_atom_site_fract_x
_atom_site_fract_y
_atom_site_fract_z
Mg1 Mg 0.0000 0.0000 0.0000
P1 P 0.5000 0.5000 0.5000
H1 H 0.0000 0.5000 0.5000
F1 F 0.5000 0.5000 0.0000

***

Entry 6:
# ZnAg2Au | Alexandria | PBE-GGA | optimized geometry
# **DFT formation energy**: -0.04 eV/atom
# **Energy**: -2.6046 eV per atom
data_ZnAg2Au
_chemical_formula_sum 'Zn1 Ag2 Au1'
_cell_length_a 2.9508
_cell_length_b 2.9508
_cell_length_c 7.8451
_cell_angle_alpha 90.00
_cell_angle_beta 90.00
_cell_angle_gamma 90.00
_space_group_name_H-M_alt 'P 4/m m m'
_space_group_IT_number 123
_space_group_name_Hall '-P 4 2'
loop_
_atom_site_label
_atom_site_type_symbol
_atom_site_fract_x
_atom_site_fract_y
_atom_site_fract_z
Zn1 Zn 0.0000 0.0000 0.0000
Ag1 Ag 0.5000 0.5000 0.2336
Au1 Au 0.0000 0.0000 0.5000

***

Entry 7:
# Be2PI | Alexandria | PBE-GGA | optimized geometry
# **ΔE to the lowest computed polymorph**: 186 meV per atom
# **E_form (uncorrected)**: -0.240 eV per formula unit
# **Energy**: -3.6632 eV per atom
data_Be2PI
_chemical_formula_sum 'Be6 P3 I3'
_cell_length_a 3.6494
_cell_length_b 3.6494
_cell_length_c 19.2974
_cell_angle_alpha 90.00
_cell_angle_beta 90.00
_cell_angle_gamma 120.00
_space_group_name_H-M_alt 'R -3 m'
_space_group_IT_number 166
_space_group_name_Hall '-R 3 2"'
loop_
_atom_site_label
_atom_site_type_symbol
_atom_site_fract_x
_atom_site_fract_y
_atom_site_fract_z
Be1 Be 0.0000 0.0000 0.1235
P1 P 0.0000 0.0000 0.5000
I1 I 0.0000 0.0000 0.0000

***

Entry 8:
# Rb2DyNpO6 | Alexandria | PBE-GGA | optimized geometry
# **E_form (uncorrected)**: -26.517 eV per formula unit
# **Energy**: -7.5744 eV per atom
data_Rb2DyNpO6
_chemical_formula_sum 'Rb8 Dy4 Np4 O24'
_cell_length_a 8.6761
_cell_length_b 8.6761
_cell_length_c 8.6761
_cell_angle_alpha 90.00
_cell_angle_beta 90.00
_cell_angle_gamma 90.00
_space_group_name_H-M_alt 'F m -3 m'
_space_group_IT_number 225
_space_group_name_Hall '-F 4 2 3'
loop_
_atom_site_label
_atom_site_type_symbol
_atom_site_fract_x
_atom_site_fract_y
_atom_site_fract_z
Rb1 Rb 0.2500 0.2500 0.2500
Dy1 Dy 0.0000 0.0000 0.0000
Np1 Np 0.0000 0.0000 0.5000
O1 O 0.0000 0.0000 0.2645

***

Entry 9:
# Ce2MnGe3Ir4 | Alexandria | PBE-GGA | optimized geometry
# **DFT formation energy**: -0.69 eV/atom
# **Energy**: -7.7260 eV per atom
data_Ce2MnGe3Ir4
_chemical_formula_sum 'Ce2 Mn1 Ge3 Ir4'
_cell_length_a 4.1599
_cell_length_b 4.1599
_cell_length_c 10.5650
_cell_angle_alpha 90.00
_cell_angle_beta 90.00
_cell_angle_gamma 90.00
_space_group_name_H-M_alt 'P -4 m 2'
_space_group_IT_number 115
_space_group_name_Hall 'P -4 -2'
loop_
_atom_site_label
_atom_site_type_symbol
_atom_site_fract_x
_atom_site_fract_y
_atom_site_fract_z
Ce1 Ce 0.0000 0.5000 0.2479
Mn1 Mn 0.5000 0.5000 0.0000
Ge1 Ge 0.0000 0.0000 0.0000
Ge2 Ge 0.0000 0.5000 0.6299
Ir1 Ir 0.0000 0.0000 0.5000
Ir2 Ir 0.0000 0.5000 0.8619
Ir3 Ir 0.5000 0.5000 0.5000

***

Entry 10:
# LaPuAgOs | Alexandria | PBE-GGA | optimized geometry
# **DFT formation energy**: 0.05 eV/atom
# **Energy**: -8.2812 eV per atom
data_LaPuAgOs
_chemical_formula_sum 'La4 Pu4 Ag4 Os4'
_cell_length_a 7.1776
_cell_length_b 7.1776
_cell_length_c 7.1776
_cell_angle_alpha 90.00
_cell_angle_beta 90.00
_cell_angle_gamma 90.00
_space_group_name_H-M_alt 'F -4 3 m'
_space_group_IT_number 216
_space_group_name_Hall 'F -4 2 3'
loop_
_atom_site_label
_atom_site_type_symbol
_atom_site_fract_x
_atom_site_fract_y
_atom_site_fract_z
La1 La 0.0000 0.0000 0.0000
Pu1 Pu 0.0000 0.0000 0.5000
Ag1 Ag 0.2500 0.2500 0.7500
Os1 Os 0.2500 0.2500 0.2500

***

Entry 11:
# In2PSe | Alexandria | PBE-GGA | optimized geometry
# **ΔE to the lowest computed polymorph**: 614 meV per atom
# **E_form (uncorrected)**: 1.385 eV per formula unit
# **Energy**: -3.2466 eV per atom
data_In2PSe
_chemical_formula_sum 'In8 P4 Se4'
_cell_length_a 7.1176
_cell_length_b 7.1176
_cell_length_c 7.1176
_cell_angle_alpha 90.00
_cell_angle_beta 90.00
_cell_angle_gamma 90.00
_space_group_name_H-M_alt 'F -4 3 m'
_space_group_IT_number 216
_space_group_name_Hall 'F -4 2 3'
loop_
_atom_site_label
_atom_site_type_symbol
_atom_site_fract_x
_atom_site_fract_y
_atom_site_fract_z
In1 In 0.0000 0.0000 0.0000
In2 In 0.2500 0.2500 0.2500
P1 P 0.0000 0.0000 0.5000
Se1 Se 0.2500 0.2500 0.7500

***

Entry 12:
# PaP6Ru12 | Alexandria | PBE-GGA | optimized geometry
# **DFT formation energy**: -0.44 eV/atom
# **Energy**: -8.5022 eV per atom
data_PaP6Ru12
_chemical_formula_sum 'Pa3 P18 Ru36'
_cell_length_a 10.8728
_cell_length_b 10.8728
_cell_length_c 8.2128
_cell_angle_alpha 90.00
_cell_angle_beta 90.00
_cell_angle_gamma 120.00
_space_group_name_H-M_alt 'R -3 m'
_space_group_IT_number 166
_space_group_name_Hall '-R 3 2"'
loop_
_atom_site_label
_atom_site_type_symbol
_atom_site_fract_x
_atom_site_fract_y
_atom_site_fract_z
Pa1 Pa 0.0000 0.0000 0.0000
P1 P 0.0415 0.5207 0.2831
Ru1 Ru 0.0000 0.3651 0.5000
Ru2 Ru 0.0842 0.1685 0.3562